# 1
# PBE-GGA Ti2NbIr, optimized geometry
# Size of the total moment (μB per cell): 0.00
# Final energy (Ha/atom): -0.3376
data_Ti2NbIr
_cell_length_a 4.536
_cell_length_b 4.536
_cell_length_c 3.092
_cell_angle_alpha 90.00
_cell_angle_beta 90.00
_cell_angle_gamma 90.00
_symmetry_space_group_name_H-M 'P 4/m m m'
_symmetry_Int_Tables_number 123
_symmetry_space_group_name_Hall '-P 4 2'
loop_
_atom_site_label
_atom_site_fract_x
_atom_site_fract_y
_atom_site_fract_z
_atom_site_occupancy
Ti1 0.000 0.500 0.000 1
Nb1 0.000 0.000 0.500 1
Ir1 0.500 0.500 0.500 1



# 2
# PBE-GGA TmAlGa2, optimized geometry
# Size of the total moment (μB per cell): 0.00
# Final energy (Ha/atom): -0.1486
data_TmAlGa2
_cell_length_a 4.260
_cell_length_b 4.260
_cell_length_c 4.171
_cell_angle_alpha 90.00
_cell_angle_beta 90.00
_cell_angle_gamma 90.00
_symmetry_space_group_name_H-M 'P 4/m m m'
_symmetry_Int_Tables_number 123
_symmetry_space_group_name_Hall '-P 4 2'
loop_
_atom_site_label
_atom_site_fract_x
_atom_site_fract_y
_atom_site_fract_z
_atom_site_occupancy
Tm1 0.000 0.000 0.000 1
Al1 0.500 0.500 0.000 1
Ga1 0.000 0.500 0.500 1



Q: Which value of size of the total moment does entry 1 give?
A: 0.00 μB per cell



Q: The highest final energy belongs to which entry?
A: TmAlGa2



Q: size of the total moment of number 1 (Ti2NbIr)?
A: 0.00 μB per cell